This record from Alexandria via LeMat-Bulk describes a relaxed structure of BaMoPb2O6. The functional is PBE with a Hubbard U.

Lattice parameters (Å, degrees): 5.739 6.727 8.724 90.00 89.09 90.00
Atoms (fractional coordinates):
O (0.604, 0.091, 0.296)
O (0.301, 0.647, 0.017)
O (0.396, 0.909, 0.704)
O (0.654, 0.227, 0.592)
O (0.896, 0.591, 0.204)
O (0.199, 0.147, 0.483)
O (0.104, 0.409, 0.796)
O (0.846, 0.727, 0.908)
O (0.346, 0.773, 0.408)
O (0.699, 0.353, 0.983)
O (0.154, 0.273, 0.092)
O (0.801, 0.853, 0.517)
Pb (0.495, 0.459, 0.216)
Pb (0.995, 0.041, 0.716)
Pb (0.505, 0.541, 0.784)
Pb (0.005, 0.959, 0.284)
Ba (0.500, 0.000, 0.000)
Ba (0.000, 0.500, 0.500)
Mo (0.000, 0.500, 0.000)
Mo (0.500, 0.000, 0.500)

Results
DFT total energy: -6.288 eV per atom
DOS(E_F): 0.000 states/eV/cell
Mass density: 7.33 g cm⁻³
Symmetry: No. 14